Entry from Alexandria: a relaxed structure of Li2NpFe3O6 (PBE with a Hubbard U).

Calculated values
- energy (eV/atom) = -7.199

a b c (Å): 5.4117 9.3412 5.3991
angles (deg): 90.00 109.26 90.00
With the nearest neighbours (Å) after each atom.
Space group C2/m (No. 12)
Asymmetric unit:
Li (0.0000, 0.1677, 0.0000) x4  6 O 2.18-2.24
Np (0.0000, 0.5000, 0.0000) x2  6 O 2.23-2.27
Fe (0.0000, 0.0000, 0.5000) x2  6 O 2.14-2.23
Fe (0.0000, 0.3258, 0.5000) x4  6 O 2.14-2.23
O (0.2494, 0.0000, 0.2638) x4  3 Fe 2.14-2.23, 2 Li 2.24, 1 Np 2.27
O (0.2490, 0.1695, 0.7511) x8  3 Fe 2.14-2.23, 2 Li 2.18-2.19, 1 Np 2.23